Entry 1:
Compound: Na2SrSn4
Source: Alexandria via LeMat-Bulk
Functional: GGA-PBEsol
Structure: optimized geometry

```
Na2SrSn4
1.0
9.491 -3.320 0.000
9.491 3.320 0.000
-0.470 0.000 6.523
Na Sr Sn
4 2 8
Direct
0.104 0.300 0.197
0.300 0.104 0.697
0.700 0.896 0.303
0.896 0.700 0.803
0.280 0.720 0.750
0.720 0.280 0.250
0.123 0.721 0.224
0.279 0.877 0.276
0.324 0.371 0.486
0.371 0.324 0.986
0.629 0.676 0.014
0.676 0.629 0.514
0.721 0.123 0.724
0.877 0.279 0.776
```

## Properties
* formation energy from the elements: -371 meV per atom
* mass density: 4.92 g/cm3
* total magnetic moment: 0.0 μB per formula unit



Entry 2:
Compound: BaTiP2
Source: Alexandria via LeMat-Bulk
Functional: GGA-PBEsol
Structure: optimized geometry

```
BaTiP2
1.0
6.910 0.000 0.000
0.000 6.910 0.000
0.000 0.000 6.910
Ba Ti P
4 4 8
Direct
0.000 0.000 0.000
0.000 0.500 0.500
0.500 0.000 0.500
0.500 0.500 0.000
0.000 0.000 0.500
0.000 0.500 0.000
0.500 0.000 0.000
0.500 0.500 0.500
0.250 0.250 0.250
0.250 0.250 0.750
0.250 0.750 0.250
0.250 0.750 0.750
0.750 0.250 0.250
0.750 0.250 0.750
0.750 0.750 0.250
0.750 0.750 0.750
```

## Properties
* formation energy from the elements: -213 meV per atom
* mass density: 4.98 g/cm3
* total magnetic moment: 0.8 μB per formula unit



Entry 3:
Compound: FeSb2Os
Source: Alexandria via LeMat-Bulk
Functional: GGA-PBEsol
Structure: optimized geometry

```
FeSb2Os
1.0
6.427 0.000 0.000
0.000 6.427 0.000
0.000 0.000 6.427
Fe Sb Os
4 8 4
Direct
0.000 0.000 0.000
0.000 0.500 0.500
0.500 0.000 0.500
0.500 0.500 0.000
0.250 0.250 0.250
0.250 0.250 0.750
0.250 0.750 0.250
0.250 0.750 0.750
0.750 0.250 0.250
0.750 0.250 0.750
0.750 0.750 0.250
0.750 0.750 0.750
0.000 0.000 0.500
0.000 0.500 0.000
0.500 0.000 0.000
0.500 0.500 0.500
```

## Properties
* mass density: 12.25 g/cm3
* raw formation energy: 429 meV/atom
* total magnetic moment: 1.9 μB per formula unit



Entry 4:
Compound: InReC2
Source: Alexandria via LeMat-Bulk
Functional: GGA-PBEsol
Structure: optimized geometry

```
InReC2
1.0
5.619 0.000 0.000
0.000 5.619 0.000
0.000 0.000 5.619
In Re C
4 4 8
Direct
0.000 0.000 0.000
0.000 0.500 0.500
0.500 0.000 0.500
0.500 0.500 0.000
0.000 0.000 0.500
0.000 0.500 0.000
0.500 0.000 0.000
0.500 0.500 0.500
0.250 0.250 0.250
0.250 0.250 0.750
0.250 0.750 0.250
0.250 0.750 0.750
0.750 0.250 0.250
0.750 0.250 0.750
0.750 0.750 0.250
0.750 0.750 0.750
```

## Properties
* formation energy from the elements: 1908 meV per atom
* mass density: 12.17 g/cm3
* total magnetic moment: 0.0 μB per formula unit



Entry 5:
Compound: Tl4HgCl
Source: Alexandria via LeMat-Bulk
Functional: GGA-PBEsol
Structure: optimized geometry

```
Tl4HgCl
1.0
0.000 4.431 4.431
4.431 0.000 4.431
4.431 4.431 0.000
Tl Hg Cl
4 1 1
Direct
0.125 0.125 0.125
0.125 0.125 0.625
0.125 0.625 0.125
0.625 0.125 0.125
0.750 0.750 0.750
0.500 0.500 0.500
```

## Properties
* mass density: 10.06 g/cm3
* raw formation energy: -50 meV/atom
* total magnetic moment: 0.0 μB per formula unit



Entry 6:
Compound: CuI
Source: Alexandria via LeMat-Bulk
Functional: GGA-PBEsol
Structure: optimized geometry

```
CuI
1.0
2.093 1.208 13.742
-2.093 1.208 13.742
0.000 -2.417 13.742
Cu I
4 4
Direct
0.000 0.000 0.000
0.167 0.167 0.167
0.417 0.417 0.417
0.584 0.584 0.584
0.105 0.105 0.105
0.355 0.355 0.355
0.521 0.521 0.521
0.938 0.938 0.938
```

## Properties
* mass density: 6.07 g/cm3
* raw formation energy: -110 meV/atom
* total magnetic moment: 0.0 μB per formula unit



Entry 7:
Compound: Mo2PRu
Source: Alexandria via LeMat-Bulk
Functional: GGA-PBEsol
Structure: optimized geometry

```
Mo2PRu
1.0
3.816 0.000 0.000
0.000 2.852 0.000
0.000 0.000 10.225
Mo P Ru
4 2 2
Direct
0.000 0.000 0.000
0.000 0.500 0.500
0.500 0.000 0.348
0.500 0.500 0.848
0.000 0.000 0.754
0.000 0.500 0.254
0.500 0.000 0.618
0.500 0.500 0.118
```

## Properties
* formation energy from the elements: -192 meV per atom
* mass density: 9.67 g/cm3
* total magnetic moment: 0.0 μB per formula unit



Entry 8:
Compound: BaHF2
Source: Alexandria via LeMat-Bulk
Functional: GGA-PBEsol
Structure: optimized geometry

```
BaHF2
1.0
3.798 0.000 0.000
-1.899 3.289 0.000
0.000 0.000 17.761
Ba H F
3 3 6
Direct
0.000 0.000 0.000
0.333 0.667 0.667
0.667 0.333 0.333
0.000 0.000 0.500
0.333 0.667 0.167
0.667 0.333 0.833
0.000 0.000 0.435
0.000 0.000 0.565
0.333 0.667 0.102
0.333 0.667 0.231
0.667 0.333 0.769
0.667 0.333 0.898
```

## Properties
* mass density: 3.96 g/cm3
* total magnetic moment: 0.2 μB per formula unit
* calculated total energy: -4.451 eV/atom